1.
Entry from Alexandria: Tl3Zn5Br12 after structural relaxation (GGA-PBE).

a b c (Å): 17.1996 17.1996 17.1996
angles (deg): 90.00 90.00 90.00
Last column: nearest neighbours and their distance in Å.
Space group Ia-3d (No. 230)
One atom of each set of equivalent atoms:
Tl 0.0000 0.2500 0.1250 [24 per cell]  8 Br 3.40-3.53
Zn 0.0000 0.0000 0.0000 [16 per cell]  6 Br 2.74
Zn 0.0000 0.2500 0.3750 [24 per cell]  4 Br 2.48
Br 0.0366 0.0494 0.6470 [96 per cell]  2 Zn 2.48-2.74

Values from the calculation:
Spin magnetization in μB/f.u.: 0.0
DFT total energy in eV per atom: -2.438
N(E_F) in states/eV/atom: 0.11
Calculated volume in Å³/f.u.: 636

2.
Entry from Alexandria: Ga2Ni2Mo after structural relaxation (GGA-PBE).

a b c (Å): 7.0669 7.0669 2.6516
angles (deg): 90.00 90.00 90.00
Last column: nearest neighbours and their distance in Å.
Space group P4/mbm (No. 127)
One atom of each set of equivalent atoms:
Ga 0.1416 0.3584 0.0000 [4 per cell]  6 Ni 2.42-2.49, 2 Ga 2.65
Ni 0.1563 0.6563 0.5000 [4 per cell]  6 Ga 2.42-2.49, 2 Ni 2.65
Mo 0.0000 0.0000 0.0000 [2 per cell]  2 Mo 2.65, 4 Ga 2.72

Values from the calculation:
Spin magnetization in μB/f.u.: 0.0
DFT total energy in eV per atom: -5.864
N(E_F) in states/eV/atom: 0.83
ΔE_f in meV per atom: -174
Calculated volume in Å³/f.u.: 66
Polymorph energy (0 for the lowest one) in eV/atom: 0.000